No. 1
# SiBiS3

SiBiS3 after structural relaxation (PBE, the Alexandria database).

Cell: 4.596 4.596 4.596 Å, 90.00 90.00 90.00°
Fractional coordinates of all 5 atoms:
S: 0.500 0.000 0.000
S: 0.000 0.000 0.500
S: 0.000 0.500 0.000
Bi: 0.500 0.500 0.500
Si: 0.000 0.000 0.000

Properties
- formation energy (no corrections) (kJ/mol of formula units) = -6
- E above lowest polymorph (eV per atom) = 0.169



No. 2
# NdSmDySc

NdSmDySc after structural relaxation (PBE, the Alexandria database).

Cell: 3.792 5.692 6.752 Å, 114.93 73.67 90.00°
Fractional coordinates of all 4 atoms:
Nd: 0.651 0.412 0.825
Dy: 0.192 0.871 0.742
Sm: 0.425 0.137 0.275
Sc: 0.919 0.644 0.288

Properties
- E above lowest polymorph (eV per atom) = 0.000
- E_form (eV/f.u.) = 0.4



No. 3
# Tb3Si2C2

Tb3Si2C2 after structural relaxation (PBE, the Alexandria database).

Cell: 7.570 7.570 4.667 Å, 90.00 90.00 148.70°
Fractional coordinates of all 7 atoms:
Si: 0.201 0.799 0.959
Si: 0.799 0.201 0.959
C: 0.840 0.840 0.459
C: 0.160 0.160 0.459
Tb: 0.640 0.360 0.459
Tb: 0.000 0.000 0.959
Tb: 0.360 0.640 0.459

Properties
- formation energy (no corrections) (kJ/mol of formula units) = -207



No. 4
# Tl2CuTcMo

Tl2CuTcMo after structural relaxation (PBE, the Alexandria database).

Cell: 4.841 4.770 4.841 Å, 90.00 90.00 90.00°
Fractional coordinates of all 5 atoms:
Mo: 0.500 0.500 0.500
Tl: 0.000 0.000 0.500
Tl: 0.500 0.000 0.000
Tc: 0.000 0.500 0.000
Cu: 0.000 0.000 0.000

Properties
- E_form (eV/f.u.) = 7.7



No. 5
# SiPAu4

SiPAu4 after structural relaxation (PBE, the Alexandria database).

Cell: 5.496 5.496 5.496 Å, 60.00 60.00 60.00°
Fractional coordinates of all 6 atoms:
Au: 0.875 0.375 0.375
Au: 0.375 0.375 0.875
Au: 0.375 0.875 0.375
Au: 0.375 0.375 0.375
P: 0.750 0.750 0.750
Si: 0.000 0.000 0.000

Properties
- formation energy (no corrections) (kJ/mol of formula units) = 315



No. 6
# Li2P2Rh

Li2P2Rh after structural relaxation (PBE, the Alexandria database).

Cell: 5.930 5.930 4.080 Å, 90.00 90.00 90.00°
Fractional coordinates of all 10 atoms:
P: 0.370 0.870 0.000
P: 0.630 0.130 0.000
P: 0.130 0.370 0.000
P: 0.870 0.630 0.000
Rh: 0.000 0.000 0.000
Rh: 0.500 0.500 0.000
Li: 0.178 0.678 0.500
Li: 0.322 0.178 0.500
Li: 0.822 0.322 0.500
Li: 0.678 0.822 0.500

Properties
- E_form (eV/f.u.) = -3.9



No. 7
# MgUTc2

MgUTc2 after structural relaxation (PBE, the Alexandria database).

Cell: 3.308 3.308 8.157 Å, 78.30 78.30 60.00°
Fractional coordinates of all 4 atoms:
Mg: 0.500 0.500 0.500
U: 0.000 0.000 0.000
Tc: 0.739 0.739 0.784
Tc: 0.261 0.261 0.216

Properties
- E above lowest polymorph (eV per atom) = 0.121
- E_form (eV/f.u.) = 0.3



No. 8
# Np2Rh5Au

Np2Rh5Au after structural relaxation (PBE, the Alexandria database).

Cell: 4.135 5.723 11.425 Å, 90.00 90.00 90.00°
Fractional coordinates of all 16 atoms:
Np: 0.500 0.781 0.133
Np: 0.500 0.281 0.367
Np: 0.500 0.219 0.867
Np: 0.500 0.719 0.633
Rh: 0.000 0.528 0.249
Rh: 0.000 0.028 0.251
Rh: 0.500 0.234 0.623
Rh: 0.000 0.972 0.749
Rh: 0.000 0.000 0.000
Rh: 0.000 0.500 0.500
Rh: 0.000 0.472 0.751
Rh: 0.500 0.766 0.377
Rh: 0.500 0.266 0.123
Rh: 0.500 0.734 0.877
Au: 0.000 0.000 0.500
Au: 0.000 0.500 0.000

Properties
- E_form (eV/f.u.) = -3.0



No. 9
# RbNiSeBr2

RbNiSeBr2 after structural relaxation (PBE, the Alexandria database).

Cell: 5.415 5.415 4.626 Å, 90.00 90.00 90.00°
Fractional coordinates of all 5 atoms:
Br: 0.000 0.500 0.000
Br: 0.500 0.000 0.000
Ni: 0.000 0.000 0.000
Rb: 0.500 0.500 0.500
Se: 0.000 0.000 0.500

Properties
- formation energy (no corrections) (kJ/mol of formula units) = -288



No. 10
# BaUSbO2

BaUSbO2 after structural relaxation (PBE, the Alexandria database).

Cell: 5.640 6.205 7.375 Å, 114.88 90.00 90.00°
Fractional coordinates of all 10 atoms:
Ba: 0.750 0.390 0.781
Ba: 0.250 0.610 0.219
U: 0.250 0.922 0.844
U: 0.750 0.078 0.156
O: 0.000 0.206 0.000
O: 0.500 0.206 0.000
O: 0.500 0.794 0.000
O: 0.000 0.794 0.000
Sb: 0.750 0.756 0.513
Sb: 0.250 0.244 0.487

Properties
- formation energy (no corrections) (kJ/mol of formula units) = -1063



No. 11
# TaBeSCl2

TaBeSCl2 after structural relaxation (PBE, the Alexandria database).

Cell: 4.887 4.887 4.772 Å, 90.00 90.00 90.00°
Fractional coordinates of all 5 atoms:
Cl: 0.500 0.000 0.000
Cl: 0.000 0.500 0.000
S: 0.000 0.000 0.500
Be: 0.500 0.500 0.500
Ta: 0.000 0.000 0.000

Properties
- formation energy (no corrections) (kJ/mol of formula units) = 26
- E above lowest polymorph (eV per atom) = 0.000



No. 12
# Th3P2S

Th3P2S after structural relaxation (PBE, the Alexandria database).

Cell: 4.124 5.818 7.104 Å, 114.17 106.87 90.00°
Fractional coordinates of all 6 atoms:
P: 0.834 0.334 0.667
P: 0.166 0.666 0.333
Th: 0.169 0.169 0.338
Th: 0.500 0.500 0.000
Th: 0.831 0.831 0.662
S: 0.500 0.000 0.000

Properties
- formation energy (no corrections) (kJ/mol of formula units) = -964